Record 1
{"formula": "K2Sc2Te", "functional": "GGA-PBEsol", "state": "optimized geometry", "cell": [[-0.117, -3.280, -2.487], [-2.459, -1.940, 2.674], [-7.740, 6.878, -5.298]], "species": ["Sc", "Sc", "K", "K", "Te"], "frac_coords": [[0.250, 0.750, 0.500], [0.750, 0.250, 0.500], [0.416, 0.416, 0.833], [0.584, 0.584, 0.167], [0.000, 0.000, 0.000]], "volume_a3_per_atom": 38.195, "e_tot_ev_per_atom": -3.63, "formation_energy_uncorrected_ev_per_atom": 0.171, "magmom_total_mub_per_fu": 2.37}

---

Record 2
{"formula": "K2ScTe", "functional": "GGA-PBEsol", "state": "optimized geometry", "cell": [[-2.799, 1.532, -2.668], [-4.052, -0.143, 0.927], [-1.494, 10.670, 4.451]], "species": ["K", "K", "Sc", "Te"], "frac_coords": [[0.975, 0.975, 0.075], [0.762, 0.762, 0.714], [0.526, 0.526, 0.422], [0.237, 0.237, 0.289]], "volume_a3_per_atom": 42.720, "e_tot_ev_per_atom": -3.44, "formation_energy_uncorrected_ev_per_atom": -0.340, "magmom_total_mub_per_fu": 0.90}

---

Record 3
{"formula": "K2ScTe", "functional": "GGA-PBEsol", "state": "optimized geometry", "cell": [[-0.085, -0.254, 3.477], [2.357, -2.567, -0.126], [8.548, 7.810, 0.778]], "species": ["K", "K", "Sc", "Te"], "frac_coords": [[0.000, 0.000, 0.210], [0.000, 0.000, 0.790], [0.500, 0.500, 0.500], [0.500, 0.500, 0.000]], "volume_a3_per_atom": 35.285, "e_tot_ev_per_atom": -3.04, "formation_energy_uncorrected_ev_per_atom": 0.059, "magmom_total_mub_per_fu": 1.19}

---

Record 4
{"formula": "KScTi2", "functional": "GGA-PBEsol", "state": "optimized geometry", "cell": [[-1.232, -1.140, -4.849], [-3.388, -3.727, -0.978], [-4.656, 1.174, -1.808]], "species": ["Sc", "K", "Ti", "Ti"], "frac_coords": [[0.500, 0.500, 0.500], [0.000, 0.000, 0.000], [0.250, 0.250, 0.250], [0.750, 0.750, 0.750]], "volume_a3_per_atom": 23.878, "e_tot_ev_per_atom": -4.91, "magmom_total_mub_per_fu": 4.37, "formation_enthalpy_0k_mev_per_atom": 1185.0}